## CuAgAs2 (PBE-GGA)

Data for a geometry-optimized CuAgAs2 structure.

Lattice parameters (Å, degrees): 5.021 5.021 2.781 90.00 90.00 90.00
Positions (direct):
As 0.000 0.000 0.000
As 0.500 0.500 0.000
Ag 0.000 0.500 0.500
Cu 0.500 0.000 0.500

Properties
**Energy of formation from the pure elements**: 0.2847 eV per atom
**E above lowest polymorph**: 126 meV/atom
**Total magnetic moment**: 0.00 μB/atom